No. 1
Compound: Ac2CeNdP4
Source: the Alexandria database
Functional: PBE
Structure: relaxed

Calculated values
As for the calculated formation energy: -33.95 kcal/mol of atoms. As for the total energy: -6.542 eV per atom. Its density of states at the Fermi level is 6.1 states/eV/f.u.

Cell lengths 7.4142, 4.2852, 7.4432 Å; angles 90.00, 109.38, 90.00 degrees
Positions (direct):
Ac: 0.0000 0.0000 0.0000
Ac: 0.5000 0.5000 0.0000
Ce: 0.0000 0.5000 0.5000
Nd: 0.5000 0.0000 0.5000
P: 0.2399 0.0000 0.7300
P: 0.2515 0.5000 0.2674
P: 0.7485 0.5000 0.7326
P: 0.7601 0.0000 0.2700

***

No. 2
Compound: Ac2La2AlGa4
Source: the Alexandria database
Functional: PBE
Structure: relaxed

Calculated values
As for the calculated formation energy: -7.47 kcal/mol of atoms. As for the total energy: -4.093 eV per atom. Its density of states at the Fermi level is 7.5 states/eV/f.u.

Cell lengths 6.9789, 6.9789, 6.9789 Å; angles 116.04, 116.04, 97.02 degrees
Positions (direct):
Ac: 0.2500 0.7500 0.5000
Ac: 0.7500 0.2500 0.5000
La: 0.1813 0.1813 0.0000
La: 0.8187 0.8187 0.0000
Al: 0.5000 0.5000 0.0000
Ga: 0.2595 0.2595 0.5189
Ga: 0.2595 0.7405 0.0000
Ga: 0.7405 0.2595 0.0000
Ga: 0.7405 0.7405 0.4811

***

No. 3
Compound: AcPrCdRh
Source: the Alexandria database
Functional: PBE
Structure: relaxed

Calculated values
As for the calculated formation energy: -8.18 kcal/mol of atoms. As for the total energy: -4.643 eV per atom. Its density of states at the Fermi level is 2.4 states/eV/f.u.

Cell lengths 5.3836, 5.3836, 5.3836 Å; angles 60.00, 60.00, 60.00 degrees
Positions (direct):
Ac: 0.0000 0.0000 0.0000
Pr: 0.5000 0.5000 0.5000
Cd: 0.2500 0.2500 0.2500
Rh: 0.7500 0.7500 0.7500

***

No. 4
Compound: HoEr5Pd2
Source: the Alexandria database
Functional: PBE
Structure: relaxed

Calculated values
As for the calculated formation energy: -8.87 kcal/mol of atoms. As for the total energy: -5.107 eV per atom. Its density of states at the Fermi level is 10.0 states/eV/f.u.

Cell lengths 6.7920, 6.7920, 18.0829 Å; angles 90.00, 90.00, 148.16 degrees
Positions (direct):
Ho: 0.1990 0.8010 0.7500
Ho: 0.8010 0.1990 0.2500
Er: 0.0701 0.9299 0.2500
Er: 0.1669 0.8331 0.5526
Er: 0.1669 0.8331 0.9474
Er: 0.4465 0.5535 0.5896
Er: 0.4465 0.5535 0.9104
Er: 0.5535 0.4465 0.0896
Er: 0.5535 0.4465 0.4104
Er: 0.8331 0.1669 0.0526
Er: 0.8331 0.1669 0.4474
Er: 0.9299 0.0701 0.7500
Pd: 0.2165 0.7835 0.1354
Pd: 0.2165 0.7835 0.3646
Pd: 0.7835 0.2165 0.6354
Pd: 0.7835 0.2165 0.8646

***

Q: The highest calculated formation energy belongs to which entry?
A: Ac2La2AlGa4